Record 1
## YSc2Mo (PBE)

Data for crystalline YSc2Mo at its relaxed geometry.

Cell and atoms, written as CIF:
```
data_YSc2Mo
_space_group_name_H-M_alt 'P 1'
_space_group_IT_number 1
_space_group_name_Hall 'P 1'
_cell_length_a 6.046
_cell_length_b 6.046
_cell_length_c 3.087
_cell_angle_alpha 103.47
_cell_angle_beta 103.47
_cell_angle_gamma 117.89
loop_
_atom_site_label
_atom_site_type_symbol
_atom_site_fract_x
_atom_site_fract_y
_atom_site_fract_z
_atom_site_occupancy
Y1 Y 0.000 0.000 0.000 1
Sc1 Sc 0.000 0.500 0.500 1
Sc2 Sc 0.500 0.000 0.500 1
Mo1 Mo 0.500 0.500 0.000 1
```

Results
- V: 89.0 Å³ per cell
- Magnetic moment: 0.00 Bohr magnetons per cell
- E_form: 32.8 kJ/mol of atoms
- Space group: C2/m, No. 12
- Crystal system: monoclinic


Record 2
## Pm3Nd9Y2 (PBE)

Data for crystalline Pm3Nd9Y2 at its relaxed geometry.

Cell and atoms, written as CIF:
```
data_Pm3Nd9Y2
_space_group_name_H-M_alt 'P 1'
_space_group_IT_number 1
_space_group_name_Hall 'P 1'
_cell_length_a 9.141
_cell_length_b 9.141
_cell_length_c 14.084
_cell_angle_alpha 90.00
_cell_angle_beta 90.00
_cell_angle_gamma 120.00
loop_
_atom_site_label
_atom_site_type_symbol
_atom_site_fract_x
_atom_site_fract_y
_atom_site_fract_z
_atom_site_occupancy
Pm1 Pm 0.082 0.832 0.250 1
Pm2 Pm 0.168 0.250 0.250 1
Pm3 Pm 0.250 0.082 0.750 1
Pm4 Pm 0.750 0.918 0.250 1
Pm5 Pm 0.832 0.750 0.750 1
Pm6 Pm 0.918 0.168 0.750 1
Nd1 Nd 0.081 0.600 0.750 1
Nd2 Nd 0.132 0.407 0.543 1
Nd3 Nd 0.132 0.407 0.957 1
Nd4 Nd 0.275 0.868 0.543 1
Nd5 Nd 0.275 0.868 0.957 1
Nd6 Nd 0.400 0.481 0.750 1
Nd7 Nd 0.407 0.275 0.043 1
Nd8 Nd 0.407 0.275 0.457 1
Nd9 Nd 0.481 0.081 0.250 1
Nd10 Nd 0.519 0.919 0.750 1
Nd11 Nd 0.593 0.725 0.543 1
Nd12 Nd 0.593 0.725 0.957 1
Nd13 Nd 0.600 0.519 0.250 1
Nd14 Nd 0.725 0.132 0.043 1
Nd15 Nd 0.725 0.132 0.457 1
Nd16 Nd 0.868 0.593 0.043 1
Nd17 Nd 0.868 0.593 0.457 1
Nd18 Nd 0.919 0.400 0.250 1
Y1 Y 0.333 0.667 0.142 1
Y2 Y 0.333 0.667 0.358 1
Y3 Y 0.667 0.333 0.642 1
Y4 Y 0.667 0.333 0.858 1
```

Results
- V: 1019.2 Å³ per cell
- Magnetic moment: 0.00 Bohr magnetons per cell
- E_form: 21.6 kJ/mol of atoms
- Space group: P6_3/m, No. 176
- Crystal system: hexagonal


Record 3
## TlCoTc2 (PBE)

Data for crystalline TlCoTc2 at its relaxed geometry.

Cell and atoms, written as CIF:
```
data_TlCoTc2
_space_group_name_H-M_alt 'P 1'
_space_group_IT_number 1
_space_group_name_Hall 'P 1'
_cell_length_a 3.029
_cell_length_b 3.029
_cell_length_c 6.939
_cell_angle_alpha 90.00
_cell_angle_beta 90.00
_cell_angle_gamma 90.00
loop_
_atom_site_label
_atom_site_type_symbol
_atom_site_fract_x
_atom_site_fract_y
_atom_site_fract_z
_atom_site_occupancy
Tl1 Tl 0.000 0.000 0.000 1
Co1 Co 0.000 0.000 0.500 1
Tc1 Tc 0.500 0.500 0.312 1
Tc2 Tc 0.500 0.500 0.688 1
```

Results
- V: 63.7 Å³ per cell
- Magnetic moment: 1.28 Bohr magnetons per cell
- E_form: 51.7 kJ/mol of atoms
- Space group: P4/mmm, No. 123
- Crystal system: tetragonal


Record 4
## BaEuPb2 (PBE)

Data for crystalline BaEuPb2 at its relaxed geometry.

Cell and atoms, written as CIF:
```
data_BaEuPb2
_space_group_name_H-M_alt 'P 1'
_space_group_IT_number 1
_space_group_name_Hall 'P 1'
_cell_length_a 5.339
_cell_length_b 5.339
_cell_length_c 4.956
_cell_angle_alpha 90.00
_cell_angle_beta 90.00
_cell_angle_gamma 90.00
loop_
_atom_site_label
_atom_site_type_symbol
_atom_site_fract_x
_atom_site_fract_y
_atom_site_fract_z
_atom_site_occupancy
Ba1 Ba 0.000 0.000 0.000 1
Eu1 Eu 0.500 0.500 0.000 1
Pb1 Pb 0.000 0.500 0.500 1
Pb2 Pb 0.500 0.000 0.500 1
```

Results
- V: 141.3 Å³ per cell
- Magnetic moment: 7.06 Bohr magnetons per cell
- E_form: -47.6 kJ/mol of atoms
- Space group: P4/mmm, No. 123
- Crystal system: tetragonal


Record 5
## CoCu2W (PBE)

Data for crystalline CoCu2W at its relaxed geometry.

Cell and atoms, written as CIF:
```
data_CoCu2W
_space_group_name_H-M_alt 'P 1'
_space_group_IT_number 1
_space_group_name_Hall 'P 1'
_cell_length_a 2.608
_cell_length_b 2.608
_cell_length_c 7.606
_cell_angle_alpha 90.00
_cell_angle_beta 90.00
_cell_angle_gamma 90.00
loop_
_atom_site_label
_atom_site_type_symbol
_atom_site_fract_x
_atom_site_fract_y
_atom_site_fract_z
_atom_site_occupancy
Co1 Co 0.000 0.000 0.000 1
Cu1 Cu 0.500 0.500 0.232 1
Cu2 Cu 0.500 0.500 0.768 1
W1 W 0.000 0.000 0.500 1
```

Results
- V: 51.7 Å³ per cell
- Magnetic moment: 1.74 Bohr magnetons per cell
- E_form: 29.6 kJ/mol of atoms
- Space group: P4/mmm, No. 123
- Crystal system: tetragonal


Record 6
## RbV2Se2 (PBE)

Data for crystalline RbV2Se2 at its relaxed geometry.

Cell and atoms, written as CIF:
```
data_RbV2Se2
_space_group_name_H-M_alt 'P 1'
_space_group_IT_number 1
_space_group_name_Hall 'P 1'
_cell_length_a 3.712
_cell_length_b 3.712
_cell_length_c 8.012
_cell_angle_alpha 90.00
_cell_angle_beta 90.00
_cell_angle_gamma 90.00
loop_
_atom_site_label
_atom_site_type_symbol
_atom_site_fract_x
_atom_site_fract_y
_atom_site_fract_z
_atom_site_occupancy
Rb1 Rb 0.000 0.000 0.000 1
V1 V 0.000 0.500 0.500 1
V2 V 0.500 0.000 0.500 1
Se1 Se 0.500 0.500 0.279 1
Se2 Se 0.500 0.500 0.721 1
```

Results
- V: 110.4 Å³ per cell
- Magnetic moment: 0.00 Bohr magnetons per cell
- Formation energy without anion corrections: -60.9 kJ per mole of atoms
- Space group: P4/mmm, No. 123
- Crystal system: tetragonal